# CoBO2 PBE+U optimized geometry
data_CoBO2
_symmetry_space_group_name_H-M 'P 1'
_symmetry_Int_Tables_number 1
_symmetry_space_group_name_Hall 'P 1'
_cell_length_a 4.3259
_cell_length_b 4.3259
_cell_length_c 4.6394
_cell_angle_alpha 62.21
_cell_angle_beta 62.21
_cell_angle_gamma 90.00
loop_
_atom_site_label
_atom_site_fract_x
_atom_site_fract_y
_atom_site_fract_z
O1 0.2410 0.6250 0.2500
O2 0.8750 0.7590 0.7500
O3 0.5090 0.1250 0.2500
O4 0.3750 0.4910 0.7500
B1 0.2500 0.7500 0.5000
B2 0.5000 0.5000 0.0000
Co1 0.0000 0.0000 0.0000
Co2 0.7500 0.2500 0.5000
# crystal system = tetragonal
# symmetry = I-42d
# energy = -53.6 eV per cell